No. 1
Computed, not measured: a geometry-optimized VIn3Sb structure at the PBE-GGA level of DFT.

CIF file:
```
data_VIn3Sb
_chemical_formula_sum 'V1 In3 Sb1'
_space_group_name_H-M_alt 'P m -3 m'
_space_group_IT_number 221
_space_group_name_Hall '-P 4 2 3'
_cell_length_a 5.6211
_cell_length_b 5.6211
_cell_length_c 5.6211
_cell_angle_alpha 90.00
_cell_angle_beta 90.00
_cell_angle_gamma 90.00
loop_
_atom_site_label
_atom_site_type_symbol
_atom_site_fract_x
_atom_site_fract_y
_atom_site_fract_z
_atom_site_occupancy
V1 V 0.0000 0.0000 0.0000 1
In1 In 0.0000 0.5000 0.5000 1
Sb1 Sb 0.5000 0.5000 0.5000 1
```

Summary:
Relative energy among the computed polymorphs ... 47.02 kJ per mole of atoms
Crystal system ... cubic
Energy ... -15.97 eV for the cell shown
Formation energy (no corrections) ... 1.10 eV per atom
Density of states at the Fermi level ... 1.66 states/eV/atom

---

No. 2
Computed, not measured: a geometry-optimized Re2MoPb structure at the PBE-GGA level of DFT.

CIF file:
```
data_Re2MoPb
_chemical_formula_sum 'Re6 Mo3 Pb3'
_space_group_name_H-M_alt 'R -3 m'
_space_group_IT_number 166
_space_group_name_Hall '-R 3 2"'
_cell_length_a 2.9330
_cell_length_b 2.9330
_cell_length_c 28.6073
_cell_angle_alpha 90.00
_cell_angle_beta 90.00
_cell_angle_gamma 120.00
loop_
_atom_site_label
_atom_site_type_symbol
_atom_site_fract_x
_atom_site_fract_y
_atom_site_fract_z
_atom_site_occupancy
Re1 Re 0.0000 0.0000 0.2405 1
Mo1 Mo 0.0000 0.0000 0.5000 1
Pb1 Pb 0.0000 0.0000 0.0000 1
```

Summary:
Crystal system ... trigonal
Energy ... -110.48 eV for the cell shown
Density of states at the Fermi level ... 0.44 states/eV/atom

---

No. 3
Computed, not measured: a geometry-optimized Li2Sn2S5 structure at the PBE-GGA level of DFT.

CIF file:
```
data_Li2Sn2S5
_chemical_formula_sum 'Li4 Sn4 S10'
_space_group_name_H-M_alt 'C 1 2/m 1'
_space_group_IT_number 12
_space_group_name_Hall '-C 2y'
_cell_length_a 19.4853
_cell_length_b 3.6144
_cell_length_c 6.6776
_cell_angle_alpha 90.00
_cell_angle_beta 102.31
_cell_angle_gamma 90.00
loop_
_atom_site_label
_atom_site_type_symbol
_atom_site_fract_x
_atom_site_fract_y
_atom_site_fract_z
_atom_site_occupancy
Li1 Li 0.1873 0.0000 0.3139 1
Sn1 Sn 0.0883 0.5000 0.7268 1
S1 S 0.0000 0.0000 0.5000 1
S2 S 0.1015 0.0000 0.9866 1
S3 S 0.1844 0.5000 0.5540 1
```

Summary:
Relative energy among the computed polymorphs ... 2.66 kJ per mole of atoms
Crystal system ... monoclinic
Energy ... -74.88 eV for the cell shown
Formation energy (no corrections) ... -0.55 eV per atom
Density of states at the Fermi level ... 0.28 states/eV/atom

---

No. 4
Computed, not measured: a geometry-optimized SiBiAs3 structure at the PBE-GGA level of DFT.

CIF file:
```
data_SiBiAs3
_chemical_formula_sum 'Si1 Bi1 As3'
_space_group_name_H-M_alt 'P m -3 m'
_space_group_IT_number 221
_space_group_name_Hall '-P 4 2 3'
_cell_length_a 5.4074
_cell_length_b 5.4074
_cell_length_c 5.4074
_cell_angle_alpha 90.00
_cell_angle_beta 90.00
_cell_angle_gamma 90.00
loop_
_atom_site_label
_atom_site_type_symbol
_atom_site_fract_x
_atom_site_fract_y
_atom_site_fract_z
_atom_site_occupancy
Si1 Si 0.0000 0.0000 0.0000 1
Bi1 Bi 0.5000 0.5000 0.5000 1
As1 As 0.0000 0.5000 0.5000 1
```

Summary:
Crystal system ... cubic
Energy ... -16.16 eV for the cell shown
Formation energy (no corrections) ... 1.42 eV per atom
Density of states at the Fermi level ... 1.40 states/eV/atom

---

- energy of number 4 (SiBiAs3)?
  -16.16 eV for the cell shown

---

- Among the records above, which one has the lowest density of states at the Fermi level?
  Li2Sn2S5

---

- The lowest density of states at the Fermi level belongs to which entry?
  Li2Sn2S5

---

Please write out number 2 again, unchanged.
Computed, not measured: a geometry-optimized Re2MoPb structure at the PBE-GGA level of DFT.

CIF file:
```
data_Re2MoPb
_chemical_formula_sum 'Re6 Mo3 Pb3'
_space_group_name_H-M_alt 'R -3 m'
_space_group_IT_number 166
_space_group_name_Hall '-R 3 2"'
_cell_length_a 2.9330
_cell_length_b 2.9330
_cell_length_c 28.6073
_cell_angle_alpha 90.00
_cell_angle_beta 90.00
_cell_angle_gamma 120.00
loop_
_atom_site_label
_atom_site_type_symbol
_atom_site_fract_x
_atom_site_fract_y
_atom_site_fract_z
_atom_site_occupancy
Re1 Re 0.0000 0.0000 0.2405 1
Mo1 Mo 0.0000 0.0000 0.5000 1
Pb1 Pb 0.0000 0.0000 0.0000 1
```

Summary:
Crystal system ... trigonal
Energy ... -110.48 eV for the cell shown
Density of states at the Fermi level ... 0.44 states/eV/atom